DFT (PBE-GGA) results for a relaxed Ba2CdWC crystal.

ρ in g cm⁻³: 6.5
Total energy in eV per atom: -4.93
Size of the total moment in μB per atom: 0.285

POSCAR file:
```
Ba2CdWC
1.0
6.0237 0.0000 0.0000
0.0000 4.0829 0.0000
0.0000 0.0000 6.0237
C Ba W Cd
1 2 1 1
Direct
0.0000 0.0000 0.0000
0.0000 0.0000 0.5000
0.5000 0.0000 0.0000
0.0000 0.5000 0.0000
0.5000 0.5000 0.5000
```

=====

DFT (PBE-GGA) results for a relaxed RbSnHgPb crystal.

ρ in g cm⁻³: 7.9
Total energy in eV per atom: -2.27
Size of the total moment in μB per atom: 0.000

POSCAR file:
```
RbSnHgPb
1.0
-2.1054 0.4688 -5.2407
2.0231 -3.2627 -4.1689
-3.1972 -4.1553 -2.1515
Hg Pb Sn Rb
1 1 1 1
Direct
0.0000 0.0000 0.0000
0.5000 0.5000 0.5000
0.2500 0.2500 0.2500
0.7500 0.7500 0.7500
```

=====

DFT (PBE-GGA) results for a relaxed TbCeHoHf crystal.

ρ in g cm⁻³: 9.5
Total energy in eV per atom: -6.01
Size of the total moment in μB per atom: 0.144

POSCAR file:
```
TbCeHoHf
1.0
-0.7876 -5.2479 -1.1132
0.3541 -3.6930 3.9543
-4.4676 -2.5073 1.7759
Ce Tb Hf Ho
1 1 1 1
Direct
0.7500 0.7500 0.7500
0.2500 0.2500 0.2500
0.0000 0.0000 0.0000
0.5000 0.5000 0.5000
```

=====

DFT (PBE-GGA) results for a relaxed Al2InMo crystal.

ρ in g cm⁻³: 6.3
Total energy in eV per atom: -5.17
Size of the total moment in μB per atom: 0.000

POSCAR file:
```
Al2InMo
1.0
-2.1593 -0.5978 4.5447
-2.9819 -2.8506 2.9423
3.6794 -2.8019 2.0503
In Mo Al
1 1 2
Direct
0.7500 0.7500 0.7500
0.2500 0.2500 0.2500
0.9860 0.9860 0.0299
0.5140 0.5140 0.4701
```

=====

DFT (PBE-GGA) results for a relaxed Sm5Sn2Pb2 crystal.

Offset from the most stable computed form in meV per atom: 247
ρ in g cm⁻³: 8.2
Size of the total moment in μB per atom: 0.000

POSCAR file:
```
Sm5Sn2Pb2
1.0
7.1383 0.0000 0.0000
0.0000 8.9414 0.0000
-3.5692 -4.4707 8.9483
Sm Sn Pb
10 4 4
Direct
0.8638 0.3107 0.1387
0.2993 0.9983 0.3205
0.7749 0.8107 0.1387
0.1324 0.7469 0.5000
0.4788 0.1778 0.6795
0.1362 0.1720 0.8613
0.5212 0.4983 0.3205
0.2251 0.6720 0.8613
0.7007 0.6778 0.6795
0.8676 0.2469 0.5000
0.5015 0.9531 0.8498
0.4985 0.1033 0.1502
0.8483 0.4531 0.8498
0.1517 0.6033 0.1502
0.7260 0.9030 0.5000
0.5000 0.4711 0.0000
0.0000 0.9711 0.0000
0.2740 0.4030 0.5000
```

=====

DFT (PBE-GGA) results for a relaxed PaNb3 crystal.

Offset from the most stable computed form in meV per atom: 230
ρ in g cm⁻³: 10.5
Size of the total moment in μB per atom: 0.000

POSCAR file:
```
PaNb3
1.0
4.7316 0.0000 0.0000
0.0000 2.8803 0.0000
0.0000 0.0000 5.9179
Nb Pa
3 1
Direct
0.0000 0.5000 0.4744
0.5000 0.5000 0.2022
0.5000 0.0000 0.6984
0.0000 0.0000 0.9584
```

=====

DFT (PBE-GGA) results for a relaxed BaPtAu crystal.

Offset from the most stable computed form in meV per atom: 297
ρ in g cm⁻³: 9.9
Size of the total moment in μB per atom: 0.000

POSCAR file:
```
BaPtAu
1.0
5.0050 0.0000 0.0000
2.5025 4.3345 0.0000
2.5025 1.4448 4.0866
Pt Au Ba
1 1 1
Direct
0.2500 0.2500 0.2500
0.0000 0.0000 0.0000
0.5000 0.5000 0.5000
```

=====

DFT (PBE-GGA) results for a relaxed PmPr2O crystal.

Offset from the most stable computed form in meV per atom: 428
Formation energy from raw total energies in kJ per mole of atoms: -76
ρ in g cm⁻³: 7.3
Size of the total moment in μB per atom: 0.000

POSCAR file:
```
PmPr2O
1.0
-0.0970 -1.7711 2.7619
-1.3403 -2.5007 -1.6506
8.5264 -3.3496 -1.8486
Pr O Pm
2 1 1
Direct
0.0000 0.0000 0.8308
0.0000 0.0000 0.1692
0.5000 0.5000 0.0000
0.5000 0.5000 0.5000
```

=====

DFT (PBE-GGA) results for a relaxed KHg2Mo crystal.

Offset from the most stable computed form in meV per atom: 417
ρ in g cm⁻³: 8.8
Size of the total moment in μB per atom: 0.973

POSCAR file:
```
KHg2Mo
1.0
5.2249 0.0000 0.0000
2.6124 4.5249 0.0000
2.6124 1.5083 4.2661
Hg Mo K
2 1 1
Direct
0.2500 0.2500 0.2500
0.0000 0.0000 0.0000
0.7500 0.7500 0.7500
0.5000 0.5000 0.5000
```

=====

DFT (PBE-GGA) results for a relaxed Pm3DyPa2N6 crystal.

Formation energy from raw total energies in kJ per mole of atoms: -156
ρ in g cm⁻³: 10.0
Size of the total moment in μB per atom: 0.000

POSCAR file:
```
Pm3DyPa2N6
1.0
6.1336 -0.0026 0.0011
-3.0676 5.3114 0.0011
-1.0219 -1.7694 5.8220
N Dy Pa Pm
6 1 2 3
Direct
0.9259 0.5805 0.7787
0.7287 0.7287 0.2216
0.4195 0.0741 0.2213
0.5805 0.9259 0.7787
0.0741 0.4195 0.2213
0.2713 0.2713 0.7784
0.0000 0.0000 0.0000
0.3332 0.6668 0.0000
0.6668 0.3332 0.0000
0.1656 0.8344 0.5000
0.5000 0.5000 0.5000
0.8344 0.1656 0.5000
```

=====

DFT (PBE-GGA) results for a relaxed NiIr2Se crystal.

Offset from the most stable computed form in meV per atom: 172
Formation energy from raw total energies in kJ per mole of atoms: 40
ρ in g cm⁻³: 14.7
Size of the total moment in μB per atom: 0.000

POSCAR file:
```
NiIr2Se
1.0
-0.2057 2.7309 -0.3182
-3.8052 0.0252 2.6773
2.6158 0.6295 3.7120
Ir Se Ni
2 1 1
Direct
0.5000 0.5000 0.0000
0.0000 0.0000 0.0000
0.0000 0.5000 0.5000
0.5000 0.0000 0.5000
```

=====

DFT (PBE-GGA) results for a relaxed KBaP2 crystal.

Offset from the most stable computed form in meV per atom: 502
ρ in g cm⁻³: 3.4
Size of the total moment in μB per atom: 0.000

POSCAR file:
```
KBaP2
1.0
0.0000 3.8751 3.8751
3.8751 0.0000 3.8751
3.8751 3.8751 0.0000
K P Ba
1 2 1
Direct
0.0000 0.0000 0.0000
0.2500 0.2500 0.2500
0.7500 0.7500 0.7500
0.5000 0.5000 0.5000
```

=====

Repeat the fourth record exactly.
DFT (PBE-GGA) results for a relaxed Al2InMo crystal.

ρ in g cm⁻³: 6.3
Total energy in eV per atom: -5.17
Size of the total moment in μB per atom: 0.000

POSCAR file:
```
Al2InMo
1.0
-2.1593 -0.5978 4.5447
-2.9819 -2.8506 2.9423
3.6794 -2.8019 2.0503
In Mo Al
1 1 2
Direct
0.7500 0.7500 0.7500
0.2500 0.2500 0.2500
0.9860 0.9860 0.0299
0.5140 0.5140 0.4701
```

=====

- What is the formula in the eighth record?
  PmPr2O